Arrangement w

{"formula": "B2RuW", "functional": "PBE", "state": "optimized geometry", "m_tot_mub_per_fu": 0.00, "cell": [[0.000, 2.757, 2.757], [2.757, 0.000, 2.757], [2.757, 2.757, 0.000]], "species": ["Ru", "B", "B", "W"], "frac_coords": [[0.000, 0.000, 0.000], [0.250, 0.250, 0.250], [0.750, 0.750, 0.750], [0.500, 0.500, 0.500]]}

Arrangement x

{"formula": "B2RuW", "functional": "PBE", "state": "optimized geometry", "m_tot_mub_per_fu": 0.00, "cell": [[4.584, 0.000, 0.000], [0.000, 4.584, 0.000], [2.292, 2.292, 5.136]], "species": ["Ru", "Ru", "B", "B", "B", "B", "W", "W"], "frac_coords": [[0.500, 0.500, 0.000], [0.250, 0.750, 0.500], [0.600, 0.125, 0.250], [0.150, 0.625, 0.250], [0.375, 0.400, 0.750], [0.875, 0.850, 0.750], [0.000, 0.000, 0.000], [0.750, 0.250, 0.500]]}

Quick ranking, most stable first: arrangement w, arrangement x.

Arrangement w

{"formula": "Y2B2Ru", "functional": "PBE", "state": "optimized geometry", "m_tot_mub_per_fu": 0.00, "cell": [[3.697, 0.000, 0.000], [1.849, 5.591, -0.381], [1.849, -0.410, 8.129]], "species": ["Y", "Y", "Y", "Y", "B", "B", "B", "B", "Ru", "Ru"], "frac_coords": [[0.673, 0.333, 0.322], [0.923, 0.252, 0.902], [0.327, 0.667, 0.678], [0.077, 0.748, 0.098], [0.103, 0.226, 0.569], [0.589, 0.925, 0.896], [0.897, 0.774, 0.431], [0.411, 0.075, 0.104], [0.645, 0.075, 0.634], [0.355, 0.925, 0.366]]}

Arrangement x

{"formula": "Y2B2Ru", "functional": "PBE", "state": "optimized geometry", "m_tot_mub_per_fu": 0.00, "cell": [[6.475, 0.000, 0.000], [0.000, 6.475, 0.000], [0.000, 0.000, 3.734]], "species": ["Y", "Y", "Y", "Y", "Ru", "Ru", "B", "B", "B", "B"], "frac_coords": [[0.194, 0.694, 0.500], [0.694, 0.806, 0.500], [0.806, 0.306, 0.500], [0.306, 0.194, 0.500], [0.000, 0.000, 0.000], [0.500, 0.500, 0.000], [0.408, 0.908, 0.000], [0.908, 0.592, 0.000], [0.592, 0.092, 0.000], [0.092, 0.408, 0.000]]}

Quick ranking, most stable first: arrangement w, arrangement x.

Arrangement w

{"formula": "YB3Ru", "functional": "PBE", "state": "optimized geometry", "m_tot_mub_per_fu": 0.00, "cell": [[-0.896, 4.106, -0.713], [-3.348, -1.144, -2.378], [-2.482, 0.060, 3.465]], "species": ["Y", "Ru", "B", "B", "B"], "frac_coords": [[0.000, 0.000, 0.000], [0.500, 0.500, 0.500], [0.000, 0.500, 0.000], [0.000, 0.000, 0.500], [0.500, 0.000, 0.000]]}

Arrangement x

{"formula": "YB3Ru", "functional": "PBE", "state": "optimized geometry", "m_tot_mub_per_fu": 0.00, "cell": [[3.215, 0.000, 0.000], [0.000, 4.881, 0.000], [-1.608, 0.000, 7.272]], "species": ["Y", "Y", "B", "B", "B", "B", "B", "B", "Ru", "Ru"], "frac_coords": [[0.909, 0.750, 0.818], [0.091, 0.250, 0.182], [0.717, 0.036, 0.433], [0.283, 0.964, 0.567], [0.283, 0.536, 0.567], [0.717, 0.464, 0.433], [0.187, 0.750, 0.374], [0.813, 0.250, 0.626], [0.587, 0.750, 0.174], [0.413, 0.250, 0.826]]}

Quick ranking, most stable first: arrangement x, arrangement w.

Arrangement w

{"formula": "YB2Ru3", "functional": "PBE", "state": "optimized geometry", "m_tot_mub_per_fu": 0.00, "cell": [[3.582, 0.000, 0.000], [0.000, 7.645, -4.414], [0.000, 0.000, 8.828]], "species": ["Y", "Y", "Y", "B", "B", "B", "B", "B", "B", "Ru", "Ru", "Ru", "Ru", "Ru", "Ru", "Ru", "Ru", "Ru"], "frac_coords": [[0.500, 0.000, 0.000], [0.000, 0.667, 0.333], [0.000, 0.333, 0.667], [0.500, 0.808, 0.192], [0.500, 0.384, 0.192], [0.500, 0.808, 0.616], [0.500, 0.192, 0.808], [0.500, 0.616, 0.808], [0.500, 0.192, 0.384], [0.500, 0.500, 0.500], [0.500, 0.000, 0.500], [0.500, 0.500, 0.000], [0.000, 0.716, 0.716], [0.000, 0.000, 0.284], [0.000, 0.284, 0.000], [0.000, 0.284, 0.284], [0.000, 0.000, 0.716], [0.000, 0.716, 0.000]]}

Arrangement x

{"formula": "YB2Ru3", "functional": "PBE", "state": "optimized geometry", "m_tot_mub_per_fu": 0.00, "cell": [[5.529, 0.000, 0.000], [-2.764, 4.788, 0.000], [0.000, 0.000, 3.022]], "species": ["Y", "B", "B", "Ru", "Ru", "Ru"], "frac_coords": [[0.000, 0.000, 0.000], [0.333, 0.667, 0.000], [0.667, 0.333, 0.000], [0.500, 0.000, 0.500], [0.000, 0.500, 0.500], [0.500, 0.500, 0.500]]}

Quick ranking, most stable first: arrangement x, arrangement w.

Arrangement w

{"formula": "Zn2BRu2", "functional": "PBE", "state": "optimized geometry", "m_tot_mub_per_fu": 1.53, "cell": [[3.116, 0.000, 0.000], [0.000, 3.116, 0.000], [1.558, 1.558, 6.915]], "species": ["Ru", "Ru", "Zn", "Zn", "B"], "frac_coords": [[0.413, 0.413, 0.174], [0.587, 0.587, 0.826], [0.750, 0.250, 0.500], [0.250, 0.750, 0.500], [0.000, 0.000, 0.000]]}

Arrangement x

{"formula": "Zn2BRu2", "functional": "PBE", "state": "optimized geometry", "m_tot_mub_per_fu": 0.00, "cell": [[5.639, 0.000, 0.000], [0.000, 5.639, 0.000], [0.000, 0.000, 4.217]], "species": ["Ru", "Ru", "Ru", "Ru", "Zn", "Zn", "Zn", "Zn", "B", "B"], "frac_coords": [[0.340, 0.840, 0.000], [0.840, 0.660, 0.000], [0.660, 0.160, 0.000], [0.160, 0.340, 0.000], [0.160, 0.660, 0.500], [0.660, 0.840, 0.500], [0.840, 0.340, 0.500], [0.340, 0.160, 0.500], [0.000, 0.000, 0.000], [0.500, 0.500, 0.000]]}

Quick ranking, most stable first: arrangement x, arrangement w.

Arrangement w

{"formula": "ZrBRu", "functional": "PBE", "state": "optimized geometry", "m_tot_mub_per_fu": 0.00, "cell": [[-0.935, -4.605, 3.736], [-1.301, -1.657, -2.368], [8.408, -1.135, -3.824]], "species": ["Ru", "Ru", "Ru", "Ru", "B", "B", "B", "B", "Zr", "Zr", "Zr", "Zr"], "frac_coords": [[0.797, 0.000, 0.754], [0.203, 0.000, 0.246], [0.797, 0.500, 0.254], [0.203, 0.500, 0.746], [0.578, 0.000, 0.300], [0.422, 0.000, 0.700], [0.578, 0.500, 0.800], [0.422, 0.500, 0.200], [0.000, 0.500, 0.000], [0.000, 0.000, 0.500], [0.500, 0.500, 0.500], [0.500, 0.000, 0.000]]}

Arrangement x

{"formula": "ZrBRu", "functional": "PBE", "state": "optimized geometry", "m_tot_mub_per_fu": 0.00, "cell": [[3.219, 0.000, 0.000], [-1.610, 2.788, 0.000], [0.000, 0.000, 4.862]], "species": ["Ru", "B", "Zr"], "frac_coords": [[0.667, 0.333, 0.082], [0.333, 0.667, 0.283], [0.000, 0.000, 0.598]]}

Quick ranking, most stable first: arrangement w, arrangement x.

Arrangement w

{"formula": "ZrBRu", "functional": "PBE", "state": "optimized geometry", "m_tot_mub_per_fu": 0.00, "cell": [[-2.060, -2.443, -1.295], [3.352, -0.648, 0.480], [-2.549, -4.245, 12.065]], "species": ["Ru", "Ru", "Ru", "B", "B", "B", "Zr", "Zr", "Zr"], "frac_coords": [[0.000, 0.000, 0.057], [0.333, 0.667, 0.723], [0.667, 0.333, 0.390], [0.000, 0.000, 0.345], [0.333, 0.667, 0.012], [0.667, 0.333, 0.678], [0.000, 0.000, 0.556], [0.333, 0.667, 0.223], [0.667, 0.333, 0.890]]}

Arrangement x

{"formula": "ZrBRu", "functional": "PBE", "state": "optimized geometry", "m_tot_mub_per_fu": 0.00, "cell": [[-2.127, -4.880, -2.408], [2.904, -2.145, 1.782], [-3.767, 0.652, 6.924]], "species": ["Ru", "Ru", "Ru", "Ru", "B", "B", "B", "B", "Zr", "Zr", "Zr", "Zr"], "frac_coords": [[0.766, 0.000, 0.174], [0.766, 0.500, 0.674], [0.146, 0.000, 0.599], [0.146, 0.500, 0.099], [0.527, 0.000, 0.631], [0.527, 0.500, 0.131], [0.756, 0.000, 0.535], [0.756, 0.500, 0.035], [0.940, 0.000, 0.886], [0.940, 0.500, 0.386], [0.375, 0.000, 0.301], [0.375, 0.500, 0.801]]}

Quick ranking, most stable first: arrangement w, arrangement x.

Arrangement w

{"formula": "ZrBRu", "functional": "PBE", "state": "optimized geometry", "m_tot_mub_per_fu": 0.00, "cell": [[-0.769, 1.014, -4.101], [1.167, -5.345, 0.332], [-3.595, -2.261, -0.635]], "species": ["B", "B", "Zr", "Zr", "Ru", "Ru"], "frac_coords": [[0.287, 0.000, 0.713], [0.614, 0.000, 0.386], [0.448, 0.500, 0.552], [0.948, 0.500, 0.052], [0.157, 0.000, 0.259], [0.741, 0.000, 0.843]]}

Arrangement x

{"formula": "ZrBRu", "functional": "PBE", "state": "optimized geometry", "m_tot_mub_per_fu": 0.00, "cell": [[5.723, 0.000, 0.000], [0.000, 4.918, 0.000], [-5.711, 0.000, 5.801]], "species": ["Ru", "Ru", "Ru", "Ru", "B", "B", "B", "B", "Zr", "Zr", "Zr", "Zr"], "frac_coords": [[0.496, 0.000, 0.173], [0.496, 0.500, 0.673], [0.883, 0.000, 0.686], [0.883, 0.500, 0.186], [0.376, 0.183, 0.367], [0.376, 0.817, 0.367], [0.376, 0.683, 0.867], [0.376, 0.317, 0.867], [0.178, 0.000, 0.530], [0.178, 0.500, 0.030], [0.839, 0.000, 0.014], [0.839, 0.500, 0.514]]}

Quick ranking, most stable first: arrangement x, arrangement w.

Arrangement w

{"formula": "ZrBRu", "functional": "PBE", "state": "optimized geometry", "m_tot_mub_per_fu": 0.00, "cell": [[-4.453, 0.315, -0.899], [-0.649, -0.717, 2.964], [0.518, 5.918, 1.545]], "species": ["Ru", "Ru", "B", "B", "Zr", "Zr"], "frac_coords": [[0.478, 0.000, 0.039], [0.775, 0.000, 0.479], [0.969, 0.000, 0.158], [0.769, 0.500, 0.211], [0.961, 0.500, 0.848], [0.284, 0.500, 0.393]]}

Arrangement x

{"formula": "ZrBRu", "functional": "PBE", "state": "optimized geometry", "m_tot_mub_per_fu": 0.00, "cell": [[-0.127, 4.003, -2.552], [-2.018, 1.266, 2.086], [8.493, 1.814, 7.116]], "species": ["Ru", "Ru", "Ru", "Ru", "B", "B", "B", "B", "Zr", "Zr", "Zr", "Zr"], "frac_coords": [[0.792, 0.000, 0.094], [0.208, 0.000, 0.906], [0.792, 0.500, 0.594], [0.208, 0.500, 0.406], [0.877, 0.000, 0.733], [0.123, 0.000, 0.267], [0.877, 0.500, 0.233], [0.123, 0.500, 0.767], [0.327, 0.000, 0.631], [0.673, 0.000, 0.369], [0.327, 0.500, 0.131], [0.673, 0.500, 0.869]]}

Arrangement y

{"formula": "ZrBRu", "functional": "PBE", "state": "optimized geometry", "m_tot_mub_per_fu": 0.00, "cell": [[4.101, 0.002, 0.000], [-0.857, 4.842, -0.006], [-1.961, -1.429, 4.378]], "species": ["Ru", "Ru", "B", "B", "Zr", "Zr"], "frac_coords": [[0.852, 0.931, 0.871], [0.048, 0.742, 0.423], [0.088, 0.338, 0.210], [0.515, 0.594, 0.424], [0.406, 0.434, 0.864], [0.592, 0.100, 0.335]]}

Quick ranking, most stable first: arrangement x, arrangement w, arrangement y.

Arrangement w

{"formula": "ZrB3Ru", "functional": "PBE", "state": "optimized geometry", "m_tot_mub_per_fu": 0.00, "cell": [[3.985, 0.000, 0.000], [0.000, 3.985, 0.000], [0.000, 0.000, 3.985]], "species": ["Ru", "B", "B", "B", "Zr"], "frac_coords": [[0.000, 0.000, 0.000], [0.000, 0.500, 0.000], [0.000, 0.000, 0.500], [0.500, 0.000, 0.000], [0.500, 0.500, 0.500]]}

Arrangement x

{"formula": "ZrB3Ru", "functional": "PBE", "state": "optimized geometry", "m_tot_mub_per_fu": 0.00, "cell": [[4.152, 0.000, 0.000], [0.000, 4.152, 0.000], [0.000, 0.000, 4.152]], "species": ["Ru", "B", "B", "B", "Zr"], "frac_coords": [[0.500, 0.500, 0.500], [0.000, 0.500, 0.000], [0.000, 0.000, 0.500], [0.500, 0.000, 0.000], [0.000, 0.000, 0.000]]}

Quick ranking, most stable first: arrangement w, arrangement x.

Arrangement w

{"formula": "Zr3BRu", "functional": "PBE", "state": "optimized geometry", "m_tot_mub_per_fu": 0.00, "cell": [[4.938, 0.000, 0.000], [0.000, 4.938, 0.000], [0.000, 0.000, 4.938]], "species": ["Ru", "B", "Zr", "Zr", "Zr"], "frac_coords": [[0.000, 0.000, 0.000], [0.500, 0.500, 0.500], [0.000, 0.500, 0.000], [0.000, 0.000, 0.500], [0.500, 0.000, 0.000]]}

Arrangement x

{"formula": "Zr3BRu", "functional": "PBE", "state": "optimized geometry", "m_tot_mub_per_fu": 0.00, "cell": [[-0.512, -3.640, -2.700], [-2.503, -2.038, 3.222], [-3.778, 1.843, -1.769]], "species": ["Ru", "B", "Zr", "Zr", "Zr"], "frac_coords": [[0.500, 0.500, 0.500], [0.000, 0.000, 0.000], [0.000, 0.500, 0.000], [0.000, 0.000, 0.500], [0.500, 0.000, 0.000]]}

Quick ranking, most stable first: arrangement x, arrangement w.